# Ac2Ga2Au15

A relaxed structure of Ac2Ga2Au15 (PBE, the Alexandria database).

DFT formation energy	-0.33	eV per atom
Fermi-level density of states	9.2	states/eV/cell

Geometry as extended XYZ:
```
19
Lattice="-1.1303 -4.1102 -6.0629 6.9105 0.1745 -2.6728 2.3215 -6.4976 2.7060" Properties=species:S:1:pos:R:3 pbc="T T T"
Au 1.2622 -5.7649 0.0149
Au 4.0010 -6.8605 -0.8190
Au 5.7813 -4.7351 -0.9412
Ga 0.7260 -0.9349 -0.5403
Au 4.4429 -1.1404 -3.7132
Au 5.5022 -1.8731 -1.0221
Ac 5.3591 -6.9014 -3.9886
Au -0.0710 -4.8428 -3.3718
Au 6.2354 -3.6119 -3.4379
Au 1.1607 -3.2488 1.3530
Ac 2.7425 -3.5318 -2.0411
Au 2.3203 -5.6981 -5.0885
Au 3.7298 -4.4500 1.0553
Au 3.4553 0.0872 -1.3364
Ga 7.3757 -9.4983 -5.4894
Au 4.1006 -3.5727 -5.2107
Au 1.3373 -2.7953 -5.0225
Au -0.5652 -2.0551 -3.0314
Au 1.8662 -6.8213 -2.5918
```

=====

# AcGa2Au

A relaxed structure of AcGa2Au (PBE, the Alexandria database).

DFT formation energy	-0.39	eV per atom
distance to the lowest polymorph of the same formula	261	meV/atom
Fermi-level density of states	2.0	states/eV/cell

Geometry as extended XYZ:
```
4
Lattice="-3.5421 1.4661 -2.9228 2.1485 -1.8365 -3.5250 -2.1855 -3.8927 0.6960" Properties=species:S:1:pos:R:3 pbc="T T T"
Ac -1.7711 0.7331 -1.4614
Au -1.7896 -2.1315 -2.8759
Ga -1.0928 -1.9464 0.3480
Ga 1.0743 -0.9182 -1.7625
```

=====

# Ac2Ga5Au3

A relaxed structure of Ac2Ga5Au3 (PBE, the Alexandria database).

DFT formation energy	-0.67	eV per atom
Fermi-level density of states	9.1	states/eV/cell

Geometry as extended XYZ:
```
20
Lattice="-2.4240 5.4059 -2.3745 -7.3564 2.4472 4.5030 2.4932 7.0551 4.9388" Properties=species:S:1:pos:R:3 pbc="T T T"
Ac -0.9410 8.0594 2.1526
Ac -2.7669 11.7933 3.9394
Ga -3.0376 6.1026 4.1273
Ac -4.5203 3.1149 3.1279
Au -2.7377 8.5566 5.1188
Ga -6.0934 12.5697 4.8136
Au -6.3937 10.1162 3.8235
Ga -1.1938 2.3386 2.2537
Ga -4.2496 8.8056 2.9400
Ga -6.9208 5.2873 1.9460
Ga -4.8814 9.8667 6.0009
Ga 1.4358 5.9268 3.4493
Au -1.8180 4.0544 -1.7809
Ga -2.4058 5.0415 1.0664
Ga -8.7230 8.9815 3.6180
Ga -0.3664 9.6210 5.1213
Au -4.5495 6.3516 1.9485
Au -0.8935 4.7920 3.2438
Au -0.6060 1.3515 -0.5936
Ac -6.3462 6.8489 4.9147
```

=====

# Ac3Ga2Au4

A relaxed structure of Ac3Ga2Au4 (PBE, the Alexandria database).

DFT formation energy	-0.79	eV per atom
Fermi-level density of states	6.6	states/eV/cell

Geometry as extended XYZ:
```
9
Lattice="4.7085 0.0000 0.0000 -2.3543 5.8047 -0.2571 0.0000 -2.7143 8.7547" Properties=species:S:1:pos:R:3 pbc="T T T"
Au 2.3543 2.2961 0.4542
Au 0.0000 -0.2476 3.3902
Ga 0.0000 2.4627 5.9781
Ac 0.0000 0.0000 0.0000
Ac 0.0000 3.0907 2.6766
Au 2.3543 3.3380 5.1074
Ac 2.3543 -0.0003 5.8210
Au 0.0000 0.7942 8.0434
Ga 2.3543 0.6276 2.5195
```

=====

no.,raw total energy (eV per atom)
1,-3.67
2,-3.75
3,-3.98
4,-4.28